1.
! PBE-GGA Ni2Pt5W, optimized geometry; values from VASP
! formation energy = -98.7 meV per atom
! spin magnetization = 0.000 Bohr magnetons per cell
! SG = Cmcm
&SYSTEM
  ibrav = 0, nat = 16, ntyp = 3
/
ATOMIC_SPECIES
Ni 58.69 Ni.upf
Pt 195.08 Pt.upf
W 183.84 W.upf
CELL_PARAMETERS angstrom
3.7511 0.0000 0.0000
-1.8756 5.7552 0.0000
0.0000 0.0000 11.5318
ATOMIC_POSITIONS crystal
Ni 0.7557 0.5114 0.4069
Ni 0.7557 0.5114 0.0931
Ni 0.2443 0.4886 0.5931
Ni 0.2443 0.4886 0.9069
Pt 0.9071 0.8143 0.9209
Pt 0.9071 0.8143 0.5791
Pt 0.4110 0.8219 0.4040
Pt 0.4110 0.8219 0.0960
Pt 0.5905 0.1810 0.2500
Pt 0.4095 0.8190 0.7500
Pt 0.5890 0.1781 0.5960
Pt 0.5890 0.1781 0.9040
Pt 0.0929 0.1857 0.0791
Pt 0.0929 0.1857 0.4209
W 0.7471 0.4942 0.7500
W 0.2529 0.5058 0.2500

=====

2.
! PBE-GGA NiPtW2, optimized geometry; values from VASP
! formation energy = -40.4 meV per atom
! spin magnetization = 0.000 Bohr magnetons per cell
! SG = C2/m
&SYSTEM
  ibrav = 0, nat = 4, ntyp = 3
/
ATOMIC_SPECIES
Ni 58.69 Ni.upf
Pt 195.08 Pt.upf
W 183.84 W.upf
CELL_PARAMETERS angstrom
-0.8320 -3.1748 5.0224
2.1398 -2.0851 -3.8298
2.2031 -0.4948 1.4867
ATOMIC_POSITIONS crystal
Ni 0.0000 0.5000 0.5000
Pt 0.5000 0.5000 0.0000
W 0.0000 0.0000 0.0000
W 0.5000 0.0000 0.5000

=====

3.
! PBE-GGA Ni5Pt5W2, optimized geometry; values from VASP
! formation energy = -187.4 meV per atom
! spin magnetization = 0.000 Bohr magnetons per cell
! SG = C2/m
&SYSTEM
  ibrav = 0, nat = 12, ntyp = 3
/
ATOMIC_SPECIES
Ni 58.69 Ni.upf
Pt 195.08 Pt.upf
W 183.84 W.upf
CELL_PARAMETERS angstrom
-0.0026 -2.0710 3.1562
5.5909 -0.3190 2.0528
0.7550 5.6217 5.9470
ATOMIC_POSITIONS crystal
Ni 0.8345 0.8261 0.5049
Ni 0.2618 0.7377 0.7388
Ni 0.7382 0.2623 0.2612
Ni 0.1655 0.1739 0.4951
Ni 0.0000 0.0000 0.0000
Pt 0.5000 0.5000 0.5000
Pt 0.3358 0.3293 0.9991
Pt 0.4117 0.9208 0.2559
Pt 0.5883 0.0792 0.7441
Pt 0.6642 0.6707 0.0009
W 0.9146 0.4197 0.7511
W 0.0854 0.5803 0.2489

=====

4.
! PBE-GGA NiPt2W, optimized geometry; values from VASP
! formation energy = -263.3 meV per atom
! spin magnetization = 0.000 Bohr magnetons per cell
! SG = I4/mmm
&SYSTEM
  ibrav = 0, nat = 4, ntyp = 3
/
ATOMIC_SPECIES
Ni 58.69 Ni.upf
W 183.84 W.upf
Pt 195.08 Pt.upf
CELL_PARAMETERS angstrom
4.7674 -0.0010 -0.0129
1.6775 4.4626 0.0129
-3.2159 -2.2403 2.7144
ATOMIC_POSITIONS crystal
Ni 0.2500 0.7500 0.5000
W 0.7500 0.2500 0.5000
Pt 0.0000 0.0000 0.0000
Pt 0.5000 0.5000 0.0000

=====

5.
! PBE-GGA Ni2PtW, optimized geometry; values from VASP
! formation energy = -66.6 meV per atom
! spin magnetization = 0.000 Bohr magnetons per cell
! SG = P4/mmm
&SYSTEM
  ibrav = 0, nat = 4, ntyp = 3
/
ATOMIC_SPECIES
Ni 58.69 Ni.upf
Pt 195.08 Pt.upf
W 183.84 W.upf
CELL_PARAMETERS angstrom
2.7060 0.0030 0.0000
-0.0030 2.7060 0.0000
0.0000 0.0000 7.3345
ATOMIC_POSITIONS crystal
Ni 0.0000 0.0000 0.9940
Ni 0.0000 0.0000 0.5060
Pt 0.5000 0.5000 0.2500
W 0.5000 0.5000 0.7500

=====

6.
! PBE-GGA NiPtW2, optimized geometry; values from VASP
! formation energy = -96.2 meV per atom
! spin magnetization = 0.000 Bohr magnetons per cell
! SG = Pmm2
&SYSTEM
  ibrav = 0, nat = 4, ntyp = 3
/
ATOMIC_SPECIES
Ni 58.69 Ni.upf
W 183.84 W.upf
Pt 195.08 Pt.upf
CELL_PARAMETERS angstrom
4.4087 0.0000 0.0000
0.0000 2.7247 -0.0161
0.0000 0.0263 4.8786
ATOMIC_POSITIONS crystal
Ni 0.0000 0.6250 0.4572
W 0.0000 0.1255 0.9656
W 0.5000 0.1246 0.2975
Pt 0.5000 0.6249 0.7798

=====

7.
! PBE-GGA Ni6Pt2W3, optimized geometry; values from VASP
! formation energy = 37.1 meV per atom
! spin magnetization = 0.000 Bohr magnetons per cell
! SG = P-1
&SYSTEM
  ibrav = 0, nat = 11, ntyp = 3
/
ATOMIC_SPECIES
Ni 58.69 Ni.upf
Pt 195.08 Pt.upf
W 183.84 W.upf
CELL_PARAMETERS angstrom
-6.4283 0.4855 0.4807
-5.4817 0.5844 -4.2323
12.4533 -6.0329 4.2692
ATOMIC_POSITIONS crystal
Ni 0.0529 0.4590 0.0842
Ni 0.6059 0.9917 0.1156
Ni 0.9471 0.5410 0.9158
Ni 0.3941 0.0083 0.8844
Ni 0.7141 0.7744 0.4359
Ni 0.2859 0.2256 0.5641
Pt 0.2909 0.2243 0.7498
Pt 0.7091 0.7757 0.2502
W 0.0000 0.0000 0.0000
W 0.6809 0.6401 0.5448
W 0.3191 0.3599 0.4552

=====

8.
! PBE-GGA Ni2PtW, optimized geometry; values from VASP
! formation energy = -133.9 meV per atom
! spin magnetization = 0.000 Bohr magnetons per cell
! SG = I4/mmm
&SYSTEM
  ibrav = 0, nat = 4, ntyp = 3
/
ATOMIC_SPECIES
Ni 58.69 Ni.upf
W 183.84 W.upf
Pt 195.08 Pt.upf
CELL_PARAMETERS angstrom
-2.2373 -2.3216 3.2531
3.0410 -2.4377 2.4059
-0.0859 4.4334 -1.1472
ATOMIC_POSITIONS crystal
Ni 0.0000 0.0000 0.0000
Ni 0.5000 0.5000 0.0000
W 0.2500 0.7500 0.5000
Pt 0.7500 0.2500 0.5000

=====

9.
! PBE-GGA Ni3Pt3W2, optimized geometry; values from VASP
! formation energy = -145.3 meV per atom
! spin magnetization = 0.000 Bohr magnetons per cell
! SG = Immm
&SYSTEM
  ibrav = 0, nat = 8, ntyp = 3
/
ATOMIC_SPECIES
Ni 58.69 Ni.upf
Pt 195.08 Pt.upf
W 183.84 W.upf
CELL_PARAMETERS angstrom
-3.3065 -1.6869 0.4527
1.4781 -2.1349 2.8407
-1.1620 7.3713 3.5359
ATOMIC_POSITIONS crystal
Ni 0.1269 0.6269 0.2539
Ni 0.8731 0.3731 0.7461
Ni 0.0000 0.0000 0.0000
Pt 0.6242 0.1242 0.2484
Pt 0.5000 0.5000 0.0000
Pt 0.3758 0.8758 0.7516
W 0.2494 0.2494 0.4988
W 0.7506 0.7506 0.5012

=====

10.
! PBE-GGA NiPt4W3, optimized geometry; values from VASP
! formation energy = -4.0 meV per atom
! spin magnetization = 0.000 Bohr magnetons per cell
! SG = C2/m
&SYSTEM
  ibrav = 0, nat = 8, ntyp = 3
/
ATOMIC_SPECIES
Ni 58.69 Ni.upf
W 183.84 W.upf
Pt 195.08 Pt.upf
CELL_PARAMETERS angstrom
2.6899 -0.0002 0.5520
-0.1382 4.0704 0.6749
-0.9012 -1.3419 11.1869
ATOMIC_POSITIONS crystal
Ni 0.0000 0.0000 0.0000
W 0.3422 0.7721 0.3158
W 0.6578 0.2279 0.6842
W 0.5000 0.5000 0.0000
Pt 0.9007 0.2979 0.1989
Pt 0.0993 0.7021 0.8011
Pt 0.7803 0.2585 0.4398
Pt 0.2197 0.7415 0.5602

=====

11.
! PBE-GGA NiPt2W, optimized geometry; values from VASP
! formation energy = -214.7 meV per atom
! spin magnetization = 0.000 Bohr magnetons per cell
! SG = I-4m2
&SYSTEM
  ibrav = 0, nat = 4, ntyp = 3
/
ATOMIC_SPECIES
Ni 58.69 Ni.upf
W 183.84 W.upf
Pt 195.08 Pt.upf
CELL_PARAMETERS angstrom
-1.0793 -0.8338 -4.5963
-3.2067 -3.5399 -0.4154
0.1306 3.9928 2.6508
ATOMIC_POSITIONS crystal
Ni 0.7500 0.2500 0.5000
W 0.5000 0.5000 0.0000
Pt 0.0000 0.0000 0.0000
Pt 0.2500 0.7500 0.5000

=====

12.
! PBE-GGA NiPt2W, optimized geometry; values from VASP
! formation energy = -29.3 meV per atom
! spin magnetization = 1.438 Bohr magnetons per cell
! SG = P4/mmm
&SYSTEM
  ibrav = 0, nat = 4, ntyp = 3
/
ATOMIC_SPECIES
Ni 58.69 Ni.upf
Pt 195.08 Pt.upf
W 183.84 W.upf
CELL_PARAMETERS angstrom
3.8759 0.0000 0.0000
0.0000 3.8737 0.0000
0.0000 0.0000 3.8994
ATOMIC_POSITIONS crystal
Ni 0.0000 0.5000 0.5000
Pt 0.0000 0.0000 0.0000
Pt 0.5000 0.5000 0.0000
W 0.5000 0.0000 0.5000